# 1
Ce2Pm3PrTe6: optimized geometry, PBE.

a b c (Å): 4.4612 9.0285 10.0380
angles (deg): 103.32 102.84 90.00
With the nearest neighbours (Å) after each atom.
Atoms (fractional coordinates):
Te1 0.3340 0.4149 0.6679  3 Pm 3.16, 3 Ce 3.18
Te2 0.3314 0.9164 0.6629  3 Pm 3.17-3.18, 2 Ce 3.18, 1 Pr 3.21
Te3 0.6660 0.5851 0.3321  3 Pm 3.16, 3 Ce 3.18
Te4 0.6686 0.0836 0.3371  3 Pm 3.17-3.18, 2 Ce 3.18, 1 Pr 3.21
Te5 0.0007 0.2537 0.0014  3 Pm 3.14-3.15, 1 Ce 3.16, 2 Pr 3.19
Te6 0.9993 0.7463 0.9986  3 Pm 3.14-3.15, 1 Ce 3.16, 2 Pr 3.19
Ce1 0.1670 0.3345 0.3340  6 Te 3.16-3.18
Ce2 0.8330 0.6655 0.6660  6 Te 3.16-3.18
Pr1 0.5000 0.0000 0.0000  6 Te 3.19-3.21
Pm1 0.8356 0.1672 0.6711  6 Te 3.14-3.18
Pm2 0.5000 0.5000 0.0000  6 Te 3.15-3.16
Pm3 0.1644 0.8328 0.3289  6 Te 3.14-3.18

Values from the calculation:
Crystal system: monoclinic
Total magnetization in Bohr magnetons per cell: 2.5
Calculated volume in Å³ per atom: 31.92
Energy relative to the elements, uncorrected in kJ/mol of formula units: -1628

---

# 2
NdScSn6: optimized geometry, PBE.

a b c (Å): 4.8119 4.8119 8.9791
angles (deg): 90.00 90.00 90.00
With the nearest neighbours (Å) after each atom.
Atoms (fractional coordinates):
Sn1 0.5000 0.0000 0.7378  8 Sn 3.22-3.40, 2 Sc 3.22, 2 Nd 3.37
Sn2 0.5000 0.5000 0.0000  8 Sn 3.37, 4 Nd 3.40
Sn3 0.5000 0.5000 0.5000  8 Sn 3.22, 4 Sc 3.40
Sn4 0.5000 0.0000 0.2622  2 Sc 3.22, 8 Sn 3.22-3.40, 2 Nd 3.37
Sn5 0.0000 0.5000 0.2622  2 Sc 3.22, 8 Sn 3.22-3.40, 2 Nd 3.37
Sn6 0.0000 0.5000 0.7378  8 Sn 3.22-3.40, 2 Sc 3.22, 2 Nd 3.37
Sc1 0.0000 0.0000 0.5000  12 Sn 3.22-3.40
Nd1 0.0000 0.0000 0.0000  12 Sn 3.37-3.40

Values from the calculation:
Crystal system: tetragonal
Total magnetization in Bohr magnetons per cell: 0.0
Calculated volume in Å³ per atom: 25.99
ΔH_f (0 K) in eV per formula unit: -3.1

---

# 3
CsAs2SeS: optimized geometry, PBE.

a b c (Å): 5.0714 5.0714 5.3201
angles (deg): 90.00 90.00 90.00
With the nearest neighbours (Å) after each atom.
Atoms (fractional coordinates):
As1 0.5000 0.0000 0.0000  2 S 2.54
As2 0.0000 0.5000 0.0000  2 S 2.54
Cs1 0.5000 0.5000 0.5000  4 Se 3.59, 8 As 3.68
S1 0.0000 0.0000 0.0000  4 As 2.54, 2 Se 2.66
Se1 0.0000 0.0000 0.5000  2 S 2.66

Values from the calculation:
Crystal system: tetragonal
Total magnetization in Bohr magnetons per cell: 0.4
Calculated volume in Å³ per atom: 27.37
Energy relative to the elements, uncorrected in kJ/mol of formula units: 152

---

# 4
Te2PtPbO8: optimized geometry, PBE.

a b c (Å): 5.6497 5.6497 7.0164
angles (deg): 90.00 90.00 120.00
With the nearest neighbours (Å) after each atom.
Atoms (fractional coordinates):
Te1 0.3333 0.6667 0.6885  4 O 1.83-2.04
Te2 0.6667 0.3333 0.3115  4 O 1.83-2.04
Pb1 0.0000 0.0000 0.0000  6 O 2.75
O1 0.9944 0.7195 0.3222  1 Pt 2.00, 1 Te 2.04
O2 0.2805 0.2749 0.3222  1 Pt 2.00, 1 Te 2.04
O3 0.3333 0.6667 0.9490  1 Te 1.83
O4 0.0056 0.2805 0.6778  1 Pt 2.00, 1 Te 2.04
O5 0.2749 0.9944 0.6778  1 Pt 2.00, 1 Te 2.04
O6 0.7251 0.0056 0.3222  1 Pt 2.00, 1 Te 2.04
O7 0.6667 0.3333 0.0510  1 Te 1.83
O8 0.7195 0.7251 0.6778  1 Pt 2.00, 1 Te 2.04
Pt1 0.0000 0.0000 0.5000  6 O 2.00

Values from the calculation:
Crystal system: trigonal
Total magnetization in Bohr magnetons per cell: 1.7
Calculated volume in Å³ per atom: 16.16
Energy relative to the elements, uncorrected in kJ/mol of formula units: -798

---

# 5
Sr4CrPt: optimized geometry, PBE.

a b c (Å): 6.7147 6.7147 6.7147
angles (deg): 60.00 60.00 60.00
With the nearest neighbours (Å) after each atom.
Atoms (fractional coordinates):
Cr1 0.7500 0.7500 0.7500  12 Sr 3.94, 4 Pt 4.11
Pt1 0.0000 0.0000 0.0000  12 Sr 3.93, 4 Cr 4.11
Sr1 0.3743 0.8771 0.3743  6 Sr 3.34-3.38
Sr2 0.3743 0.3743 0.8771  6 Sr 3.34-3.38
Sr3 0.8771 0.3743 0.3743  6 Sr 3.34-3.38
Sr4 0.3743 0.3743 0.3743  6 Sr 3.34-3.38

Values from the calculation:
Crystal system: cubic
Total magnetization in Bohr magnetons per cell: 5.6
Calculated volume in Å³ per atom: 35.68
ΔH_f (0 K) in eV per formula unit: 5.3

---

# 6
K2CaS2O9: optimized geometry, PBE.

a b c (Å): 7.2175 6.2611 10.0421
angles (deg): 75.49 90.00 90.00
With the nearest neighbours (Å) after each atom.
Atoms (fractional coordinates):
O1 0.5769 0.8026 0.2598  1 S 1.52
O2 0.4085 0.1701 0.7304  1 S 1.49
O3 0.9317 0.2098 0.0147  1 S 1.49
O4 0.2433 0.4196 0.5409  1 S 1.49
O5 0.0769 0.1974 0.7402  1 S 1.52
O6 0.8212 0.9614 0.7837  2 O 2.34-2.61, 1 Ca 2.50
O7 0.7433 0.5804 0.4591  1 S 1.49
O8 0.1013 0.7950 0.9973  1 S 1.50
O9 0.2659 0.4622 0.1222  1 S 1.49
O10 0.7659 0.5378 0.8778  1 S 1.49
O11 0.9085 0.8299 0.2696  1 S 1.49
O12 0.2207 0.0231 0.5694  1 S 1.48
O13 0.7550 0.4488 0.1258  1 S 1.50
O14 0.2550 0.5512 0.8742  1 S 1.50
O15 0.6013 0.2050 0.0027  1 S 1.50
O16 0.3212 0.0386 0.2163  2 O 2.34-2.61, 1 Ca 2.50
O17 0.7207 0.9769 0.4306  1 S 1.48
O18 0.4317 0.7902 0.9853  1 S 1.49
S1 0.7386 0.7999 0.3573  4 O 1.48-1.52
S2 0.7641 0.3526 0.0038  4 O 1.49-1.50
S3 0.2641 0.6474 0.9962  4 O 1.49-1.50
S4 0.2386 0.2001 0.6427  4 O 1.48-1.52
Ca1 0.7653 0.8459 0.0375  8 O 2.42-2.57
Ca2 0.2653 0.1541 0.9625  8 O 2.42-2.57
K1 0.5081 0.7143 0.6679  5 O 2.76-2.98
K2 0.9974 0.6605 0.6571  7 O 2.73-2.87
K3 0.0081 0.2857 0.3321  5 O 2.76-2.98
K4 0.4974 0.3395 0.3429  7 O 2.73-2.87

Values from the calculation:
Crystal system: monoclinic
Total magnetization in Bohr magnetons per cell: 4.3
Calculated volume in Å³ per atom: 15.69
Energy relative to the elements, uncorrected in kJ/mol of formula units: -2279

---

no.,VASP energy (eV/atom)
1,-5.55
2,-4.78
3,-3.24
4,-5.33
5,-2.84
6,-5.76